VASP calculation (GGA-PBE) on crystalline Pm4Te2C at its relaxed geometry.

Geometry as POSCAR:
```
Pm4Te2C
1.0
-2.433 2.433 8.189
2.433 -2.433 8.189
2.433 2.433 -8.189
Pm Te C
4 2 1
Direct
0.000 0.500 0.500 Pm
0.162 0.162 0.000 Pm
0.500 0.000 0.500 Pm
0.838 0.838 0.000 Pm
0.359 0.359 0.000 Te
0.641 0.641 0.000 Te
0.000 0.000 0.000 C
```

Results
Formation energy from raw total energies, meV per atom: -752
Crystal system: tetragonal
Relative energy among the computed polymorphs, eV per atom: 0.020
DOS at the Fermi energy, states/eV/f.u.: 6.746
Space group: No. 139
Spin magnetization, μB per formula unit: 0.0